[1]
Material: YTlHgS3
Method: DFT, PBE-GGA
State: relaxed

Calculated density: 6273 kg/m³
Offset from the most stable computed form: 50.1 meV/atom

abc: 12.1808 4.1004 12.5100
angles: 90.00 90.00 90.00
Atoms (fractional coordinates):
Y  0.0406  0.2500  0.1591
Y  0.4594  0.7500  0.6591
Y  0.5406  0.2500  0.3409
Y  0.9594  0.7500  0.8409
Tl  0.1424  0.2500  0.5286
Tl  0.3576  0.7500  0.0286
Tl  0.6424  0.2500  0.9714
Tl  0.8576  0.7500  0.4714
Hg  0.2480  0.7500  0.3182
Hg  0.2520  0.2500  0.8182
Hg  0.7480  0.7500  0.1818
Hg  0.7520  0.2500  0.6818
S  0.0408  0.7500  0.3090
S  0.0864  0.2500  0.9343
S  0.2377  0.7500  0.6748
S  0.2623  0.2500  0.1748
S  0.4136  0.7500  0.4343
S  0.4592  0.2500  0.8090
S  0.5408  0.7500  0.1910
S  0.5864  0.2500  0.5657
S  0.7377  0.7500  0.8252
S  0.7623  0.2500  0.3252
S  0.9136  0.7500  0.0657
S  0.9592  0.2500  0.6910

=====

[2]
Material: PrHoMg6
Method: DFT, PBE-GGA
State: relaxed

Calculated density: 3737 kg/m³
Energy: -2.42 eV per atom

abc: 5.2009 5.2009 7.4207
angles: 90.00 90.00 90.00
Atoms (fractional coordinates):
Pr  0.0000  0.0000  0.0000
Ho  0.5000  0.5000  0.5000
Mg  0.0000  0.0000  0.5000
Mg  0.0000  0.5000  0.2573
Mg  0.0000  0.5000  0.7427
Mg  0.5000  0.0000  0.2573
Mg  0.5000  0.0000  0.7427
Mg  0.5000  0.5000  0.0000

=====

[3]
Material: NpTlAu
Method: DFT, PBE-GGA
State: relaxed

Calculated density: 12311 kg/m³
Energy: -5.67 eV per atom

abc: 7.0095 7.0095 7.0095
angles: 90.00 90.00 90.00
Atoms (fractional coordinates):
Np  0.0000  0.0000  0.0000
Np  0.0000  0.5000  0.5000
Np  0.5000  0.0000  0.5000
Np  0.5000  0.5000  0.0000
Tl  0.2500  0.2500  0.7500
Tl  0.2500  0.7500  0.2500
Tl  0.7500  0.2500  0.2500
Tl  0.7500  0.7500  0.7500
Au  0.0000  0.0000  0.5000
Au  0.0000  0.5000  0.0000
Au  0.5000  0.0000  0.0000
Au  0.5000  0.5000  0.5000